Below is crystalline MgCoAsO6 at its relaxed geometry, with properties calculated at the PBE+U level.

volume = 10.157 A^3/atom
E = -5.8401 eV per atom
spin magnetization = 0.23 μB/atom

Lattice parameters (Å, degrees): 4.838 4.838 9.019 90.00 90.00 120.00
Atoms (fractional coordinates):
Mg (0.000, 0.000, 0.000)
Mg (0.000, 0.000, 0.500)
Co (0.333, 0.667, 0.250)
Co (0.667, 0.333, 0.750)
As (0.333, 0.667, 0.750)
As (0.667, 0.333, 0.250)
O (0.002, 0.359, 0.638)
O (0.002, 0.643, 0.862)
O (0.357, 0.359, 0.862)
O (0.357, 0.998, 0.638)
O (0.359, 0.002, 0.138)
O (0.359, 0.357, 0.362)
O (0.641, 0.643, 0.638)
O (0.641, 0.998, 0.862)
O (0.643, 0.002, 0.362)
O (0.643, 0.641, 0.138)
O (0.998, 0.357, 0.138)
O (0.998, 0.641, 0.362)